Here is a relaxed BeCu2Sb crystal from the Alexandria database. Energies are from GGA-PBEsol.

Cell: 4.665 4.665 4.665 Å, 131.88 131.88 70.42°
Positions (direct):
1 Be 0.000 0.000 0.000
2 Cu 0.500 0.500 0.000
3 Cu 0.750 0.250 0.500
4 Sb 0.250 0.750 0.500

Values from the calculation:
The density of states at the Fermi level is 0.28 states/eV/atom. The calculation puts the final energy at -4.06 eV/atom. As for the formation energy from raw total energies: 0.248 eV/atom. The value obtained for the total magnetic moment is 0.00 μB per cell.

---

Here is a relaxed Be2CuSb crystal from the Alexandria database. Energies are from GGA-PBEsol.

Cell: 8.210 8.210 8.210 Å, 152.66 152.66 39.05°
Positions (direct):
1 Be 0.024 0.625 0.899
2 Be 0.375 0.274 0.399
3 Be 0.726 0.125 0.101
4 Be 0.875 0.976 0.601
5 Cu 0.000 0.000 0.000
6 Cu 0.750 0.250 0.500
7 Sb 0.250 0.750 0.500
8 Sb 0.500 0.500 0.000

Values from the calculation:
The density of states at the Fermi level is 0.41 states/eV/atom. The calculation puts the final energy at -3.86 eV/atom. As for the formation energy from raw total energies: 0.358 eV/atom. The value obtained for the total magnetic moment is 0.00 μB per cell.

---

Here is a relaxed BeCuSb2 crystal from the Alexandria database. Energies are from GGA-PBEsol.

Cell: 6.702 6.702 6.702 Å, 31.46 31.46 31.46°
Positions (direct):
1 Be 0.000 0.000 0.000
2 Cu 0.500 0.500 0.500
3 Sb 0.254 0.254 0.254
4 Sb 0.746 0.746 0.746

Values from the calculation:
The density of states at the Fermi level is 0.42 states/eV/atom. The calculation puts the final energy at -4.12 eV/atom. As for the formation energy from raw total energies: 0.241 eV/atom. The value obtained for the total magnetic moment is 0.00 μB per cell.

---

Here is a relaxed BeCuSb2Te crystal from the Alexandria database. Energies are from GGA-PBEsol.

Cell: 4.767 4.767 4.968 Å, 90.00 90.00 90.00°
Positions (direct):
1 Be 0.000 0.000 0.000
2 Cu 0.500 0.500 0.500
3 Sb 0.000 0.500 0.000
4 Sb 0.500 0.000 0.000
5 Te 0.000 0.000 0.500

Values from the calculation:
The density of states at the Fermi level is 0.65 states/eV/atom. The calculation puts the final energy at -3.48 eV/atom. As for the formation energy from raw total energies: 0.716 eV/atom. The value obtained for the total magnetic moment is 0.00 μB per cell.

---

Here is a relaxed ScBeCu crystal from the Alexandria database. Energies are from GGA-PBEsol.

Cell: 4.194 4.194 4.194 Å, 60.00 60.00 60.00°
Positions (direct):
1 Sc 0.000 0.000 0.000
2 Be 0.750 0.750 0.750
3 Cu 0.250 0.250 0.250

Values from the calculation:
The density of states at the Fermi level is 0.81 states/eV/atom. The calculation puts the final energy at -4.26 eV/atom. The value obtained for the formation energy from the elements is 723 meV/atom. The value obtained for the total magnetic moment is 0.00 μB per cell.

---

Here is a relaxed ScBe2Cu crystal from the Alexandria database. Energies are from GGA-PBEsol.

Cell: 8.077 8.077 8.077 Å, 151.84 151.84 40.25°
Positions (direct):
1 Sc 0.375 0.625 0.750
2 Sc 0.625 0.375 0.250
3 Be 0.000 0.000 0.000
4 Be 0.000 0.000 0.500
5 Be 0.000 0.500 0.000
6 Be 0.500 0.000 0.500
7 Cu 0.125 0.875 0.250
8 Cu 0.875 0.125 0.750

Values from the calculation:
The density of states at the Fermi level is 0.74 states/eV/atom. The calculation puts the final energy at -4.50 eV/atom. The value obtained for the formation energy from the elements is 234 meV/atom. For the distance to the lowest polymorph of the same formula, the calculation gives 0.056 eV/atom. The value obtained for the total magnetic moment is 0.00 μB per cell.

---

Here is a relaxed ScBe2Cu crystal from the Alexandria database. Energies are from GGA-PBEsol.

Cell: 3.653 3.653 3.907 Å, 90.00 90.00 90.00°
Positions (direct):
1 Sc 0.000 0.000 0.000
2 Be 0.000 0.500 0.500
3 Be 0.500 0.000 0.500
4 Cu 0.500 0.500 0.000

Values from the calculation:
The density of states at the Fermi level is 0.60 states/eV/atom. The calculation puts the final energy at -4.56 eV/atom. The value obtained for the formation energy from the elements is 178 meV/atom. For the distance to the lowest polymorph of the same formula, the calculation gives 0.000 eV/atom. The value obtained for the total magnetic moment is 0.00 μB per cell.

---

Here is a relaxed ScBeCuTc2 crystal from the Alexandria database. Energies are from GGA-PBEsol.

Cell: 4.538 4.538 3.788 Å, 90.00 90.00 90.00°
Positions (direct):
1 Sc 0.000 0.000 0.000
2 Be 0.500 0.500 0.000
3 Cu 0.500 0.500 0.500
4 Tc 0.000 0.500 0.500
5 Tc 0.500 0.000 0.500

Values from the calculation:
The density of states at the Fermi level is 1.57 states/eV/atom. The calculation puts the final energy at -6.59 eV/atom. The value obtained for the formation energy from the elements is 900 meV/atom. The value obtained for the total magnetic moment is 0.00 μB per cell.